[1]
LiNbOsI2: relaxed, PBE.

Values from the calculation:
- formation energy (no corrections) (meV per atom) = 1635
- space-group type = P4/mmm
- total magnetic moment (μB per formula unit) = 0.0

Cell lengths 4.7081, 4.7081, 4.6399 Å; angles 90.00, 90.00, 90.00 degrees
Positions (direct):
Li: 0.0000 0.0000 0.0000
Nb: 0.0000 0.0000 0.5000
Os: 0.5000 0.5000 0.5000
I: 0.0000 0.5000 0.0000
I: 0.5000 0.0000 0.0000

***

[2]
LiNbSi2I: relaxed, PBE.

Values from the calculation:
- formation energy (no corrections) (meV per atom) = 987
- space-group type = P4/mmm
- total magnetic moment (μB per formula unit) = 1.7

Cell lengths 4.3120, 4.3120, 5.2673 Å; angles 90.00, 90.00, 90.00 degrees
Positions (direct):
Li: 0.0000 0.0000 0.0000
Nb: 0.0000 0.0000 0.5000
Si: 0.0000 0.5000 0.0000
Si: 0.5000 0.0000 0.0000
I: 0.5000 0.5000 0.5000

***

[3]
LiZrNb2I: relaxed, PBE.

Values from the calculation:
- formation energy (no corrections) (meV per atom) = 1066
- space-group type = P4/mmm
- total magnetic moment (μB per formula unit) = 0.0

Cell lengths 5.1280, 5.1280, 4.4432 Å; angles 90.00, 90.00, 90.00 degrees
Positions (direct):
Li: 0.0000 0.0000 0.0000
Zr: 0.5000 0.5000 0.0000
Nb: 0.0000 0.5000 0.5000
Nb: 0.5000 0.0000 0.5000
I: 0.0000 0.0000 0.5000

***

[4]
Li2NdI5: relaxed, PBE.

Values from the calculation:
- formation energy (no corrections) (meV per atom) = -1237
- space-group type = Cm
- total magnetic moment (μB per formula unit) = 0.0

Cell lengths 13.4046, 9.1346, 7.6305 Å; angles 90.00, 120.43, 90.00 degrees
Positions (direct):
Li: 0.0000 0.2094 0.0000
Li: 0.0000 0.7906 0.0000
Li: 0.5000 0.2906 0.0000
Li: 0.5000 0.7094 0.0000
Nd: 0.2651 0.5000 0.2150
Nd: 0.7651 0.0000 0.2150
I: 0.0140 0.5000 0.1489
I: 0.0204 0.0000 0.2932
I: 0.1994 0.2237 0.9694
I: 0.1994 0.7763 0.9694
I: 0.3592 0.5000 0.6770
I: 0.5140 0.0000 0.1489
I: 0.5204 0.5000 0.2932
I: 0.6994 0.2763 0.9694
I: 0.6994 0.7237 0.9694
I: 0.8592 0.0000 0.6770

***

total magnetic moment of number 4 (Li2NdI5)? 0.0 μB per formula unit

***

What is the formula in the second record? LiNbSi2I

***

Look up the total magnetic moment of the second one. 1.7 μB per formula unit

***

Which formula does entry 2 have? LiNbSi2I